Record 1
The following is a PBE-GGA calculation of Al2Cr2Ga after structural relaxation, from Alexandria.

Results
The value obtained for the magnetic moment is 0.0 μB per formula unit. The energy above the most stable polymorph in this dataset comes out at 0.174 eV per atom. The density of states at the Fermi level is 6.88 states/eV/cell. The energy of formation is 186 meV/atom. Its symmetry is P4/mbm. The raw total energy comes out at -5.766 eV/atom.

Cell lengths 6.5814, 6.5814, 3.1750 Å; angles 90.00, 90.00, 90.00 degrees
Last column: nearest neighbours and their distance in Å.
Element x y z (fractional)
1 Al 0.1309 0.3691 0.0000  1 Al 2.44, 6 Cr 2.45-2.55, 2 Ga 2.58
2 Al 0.3691 0.8691 0.0000  1 Al 2.44, 6 Cr 2.45-2.55, 2 Ga 2.58
3 Al 0.6309 0.1309 0.0000  1 Al 2.44, 6 Cr 2.45-2.55, 2 Ga 2.58
4 Al 0.8691 0.6309 0.0000  1 Al 2.44, 6 Cr 2.45-2.55, 2 Ga 2.58
5 Cr 0.1691 0.6691 0.5000  6 Al 2.45-2.55
6 Cr 0.3309 0.1691 0.5000  6 Al 2.45-2.55
7 Cr 0.6691 0.8309 0.5000  6 Al 2.45-2.55
8 Cr 0.8309 0.3309 0.5000  6 Al 2.45-2.55
9 Ga 0.0000 0.0000 0.0000  4 Al 2.58
10 Ga 0.5000 0.5000 0.0000  4 Al 2.58

Record 2
The following is a PBE-GGA calculation of TlCu2Br after structural relaxation, from Alexandria.

Results
The value obtained for the uncorrected formation energy is 0.390 eV per formula unit. The value obtained for the magnetic moment is 0.0 μB per formula unit. The energy above the most stable polymorph in this dataset comes out at 0.049 eV per atom. The density of states at the Fermi level is 1.13 states/eV/cell. Its symmetry is C2/m. The raw total energy comes out at -2.960 eV/atom.

Cell lengths 5.0585, 5.0585, 7.1503 Å; angles 123.76, 123.76, 40.12 degrees
Last column: nearest neighbours and their distance in Å.
Element x y z (fractional)
1 Tl 0.0000 0.0000 0.0000  6 Cu 2.79-2.85
2 Cu 0.3450 0.3450 0.1466  2 Cu 2.49, 2 Br 2.68
3 Cu 0.6550 0.6550 0.8534  2 Cu 2.49, 2 Br 2.68
4 Br 0.0000 0.0000 0.5000  4 Cu 2.68

Record 3
The following is a PBE-GGA calculation of NbIn3I after structural relaxation, from Alexandria.

Results
The value obtained for the uncorrected formation energy is 6.770 eV per formula unit. The value obtained for the magnetic moment is 4.4 μB per formula unit. The energy above the most stable polymorph in this dataset comes out at 0.865 eV per atom. The density of states at the Fermi level is 10.58 states/eV/cell. Its symmetry is Pm-3m. The raw total energy comes out at -2.613 eV/atom.

Cell lengths 6.0763, 6.0763, 6.0763 Å; angles 90.00, 90.00, 90.00 degrees
Last column: nearest neighbours and their distance in Å.
Element x y z (fractional)
1 Nb 0.0000 0.0000 0.0000  12 In 4.30
2 In 0.0000 0.5000 0.5000  2 I 3.04
3 In 0.5000 0.0000 0.5000  2 I 3.04
4 In 0.5000 0.5000 0.0000  2 I 3.04
5 I 0.5000 0.5000 0.5000  6 In 3.04

Record 4
The following is a PBE-GGA calculation of Tl2CrMo after structural relaxation, from Alexandria.

Results
The value obtained for the magnetic moment is 0.6 μB per formula unit. The energy above the most stable polymorph in this dataset comes out at 0.000 eV per atom. The density of states at the Fermi level is 2.73 states/eV/cell. The energy of formation is 499 meV/atom. Its symmetry is Pm. The raw total energy comes out at -5.798 eV/atom.

Cell lengths 3.1354, 3.1342, 8.4705 Å; angles 90.00, 99.90, 90.00 degrees
Last column: nearest neighbours and their distance in Å.
Element x y z (fractional)
1 Tl 0.0000 0.0000 0.0000  4 Cr 3.00-3.04, 6 Tl 3.13-3.30, 1 Mo 3.25
2 Tl 0.1746 0.5000 0.3479  4 Mo 3.09-3.15, 6 Tl 3.13-3.30, 1 Cr 3.39
3 Cr 0.3974 0.5000 0.7543  4 Mo 2.42-2.63
4 Mo 0.7776 0.0000 0.6107  4 Cr 2.42-2.63